(1)
First-principles (PBE) data for a geometry-optimized CdHgPd4 structure, as listed in Alexandria via LeMat-Bulk.

Calculated values
Formation energy, eV/atom: -0.039
SG: F-43m, No. 216
Fermi-level density of states, states/eV/atom: 1.5856
Excess energy over the best structure of this formula in the dataset, kJ per mole of atoms: 16.9

Cell lengths 5.330, 5.330, 5.330 Å; angles 60.00, 60.00, 60.00 degrees
Fractional positions:
Hg 0.250 0.250 0.250
Pd 0.625 0.625 0.125
Pd 0.625 0.125 0.625
Pd 0.625 0.625 0.625
Pd 0.125 0.625 0.625
Cd 0.000 0.000 0.000

(2)
First-principles (PBE) data for a geometry-optimized Cd2HgPd6 structure, as listed in Alexandria via LeMat-Bulk.

Calculated values
Formation energy, eV/atom: -0.157
SG: C2/m, No. 12
Fermi-level density of states, states/eV/atom: 0.5293
Excess energy over the best structure of this formula in the dataset, kJ per mole of atoms: 0.0

Cell lengths 4.517, 5.528, 7.421 Å; angles 111.87, 107.84, 90.00 degrees
Fractional positions:
Cd 0.170 0.670 0.341
Cd 0.830 0.330 0.659
Hg 0.000 0.000 0.000
Pd 0.396 0.651 0.791
Pd 0.207 0.207 0.415
Pd 0.396 0.140 0.791
Pd 0.604 0.349 0.209
Pd 0.793 0.793 0.585
Pd 0.604 0.860 0.209

(3)
First-principles (PBE) data for a geometry-optimized CdHg2Pd structure, as listed in Alexandria via LeMat-Bulk.

Calculated values
Formation energy, eV/atom: 0.175
SG: R-3m, No. 166
Fermi-level density of states, states/eV/atom: 0.5797

Cell lengths 3.062, 3.062, 10.881 Å; angles 81.91, 81.91, 60.00 degrees
Fractional positions:
Hg 0.084 0.084 0.749
Hg 0.916 0.916 0.251
Pd 0.000 0.000 0.000
Cd 0.500 0.500 0.500

> Among the records above, which one has the highest formation energy?

CdHg2Pd